1.
This record from Alexandria via LeMat-Bulk describes a PBEsol-optimized structure of BaCeN2. The functional is SCAN.

Properties
For the total energy, the calculation gives -26.96 eV per atom. As for the space group: P6_3/mmc (194).

Unit cell a=3.6525 b=3.6525 c=12.5132 alpha=90.00 beta=90.00 gamma=120.00
Closest atoms and distances in Å follow each position.
Atoms (fractional coordinates):
Ba 0.3333 0.6667 0.7500  6 N 2.86
Ba 0.6667 0.3333 0.2500  6 N 2.86
Ce 0.0000 0.0000 0.5000  6 N 2.43
Ce 0.0000 0.0000 0.0000  6 N 2.43
N 0.3333 0.6667 0.0958  3 Ce 2.43
N 0.6667 0.3333 0.5958  3 Ce 2.43
N 0.3333 0.6667 0.4042  3 Ce 2.43
N 0.6667 0.3333 0.9042  3 Ce 2.43

2.
This record from Alexandria via LeMat-Bulk describes a PBEsol-optimized structure of CaSc2C. The functional is SCAN.

Properties
For the total energy, the calculation gives -12.32 eV per atom. As for the density of states at the Fermi level: 2.9 states/eV/f.u. As for the space group: R-3m (166).

Unit cell a=3.3454 b=3.3454 c=9.2114 alpha=79.54 beta=79.54 gamma=60.00
Closest atoms and distances in Å follow each position.
Atoms (fractional coordinates):
Sc 0.8778 0.8778 0.3666  3 C 2.27
Sc 0.1222 0.1222 0.6334  3 C 2.27
Ca 0.0000 0.0000 0.0000  2 Sc 3.30, 6 Ca 3.35
C 0.5000 0.5000 0.5000  6 Sc 2.27

3.
This record from Alexandria via LeMat-Bulk describes a PBEsol-optimized structure of HfBe3Fe. The functional is SCAN.

Properties
For the total energy, the calculation gives -18.63 eV per atom. As for the density of states at the Fermi level: 2.1 states/eV/f.u. As for the space group: Pm-3m (221).

Unit cell a=3.8791 b=3.8791 c=3.8791 alpha=90.00 beta=90.00 gamma=90.00
Closest atoms and distances in Å follow each position.
Atoms (fractional coordinates):
Be 0.0000 0.5000 0.0000  2 Fe 1.94
Be 0.0000 0.0000 0.5000  2 Fe 1.94
Be 0.5000 0.0000 0.0000  2 Fe 1.94
Hf 0.5000 0.5000 0.5000  12 Be 2.74
Fe 0.0000 0.0000 0.0000  6 Be 1.94

4.
This record from Alexandria via LeMat-Bulk describes a PBEsol-optimized structure of Dy2CuRh. The functional is SCAN.

Properties
For the total energy, the calculation gives -36.80 eV per atom. As for the density of states at the Fermi level: 2.3 states/eV/f.u. As for the space group: Fm-3m (225).

Unit cell a=4.7898 b=4.7898 c=4.7898 alpha=60.00 beta=60.00 gamma=60.00
Closest atoms and distances in Å follow each position.
Atoms (fractional coordinates):
Rh 0.0000 0.0000 0.0000  8 Dy 2.93
Cu 0.5000 0.5000 0.5000  8 Dy 2.93
Dy 0.7500 0.7500 0.7500  4 Cu 2.93, 4 Rh 2.93
Dy 0.2500 0.2500 0.2500  4 Rh 2.93, 4 Cu 2.93

5.
This record from Alexandria via LeMat-Bulk describes a PBEsol-optimized structure of TaZn2. The functional is SCAN.

Properties
For the total energy, the calculation gives -31.36 eV per atom. As for the density of states at the Fermi level: 0.9 states/eV/f.u. As for the space group: Fd-3m (227).

Unit cell a=4.9532 b=4.9532 c=4.9532 alpha=60.00 beta=60.00 gamma=60.00
Closest atoms and distances in Å follow each position.
Atoms (fractional coordinates):
Zn 0.1250 0.6250 0.6250  6 Zn 2.48
Zn 0.6250 0.6250 0.6250  6 Zn 2.48
Zn 0.6250 0.6250 0.1250  6 Zn 2.48
Zn 0.6250 0.1250 0.6250  6 Zn 2.48
Ta 0.0000 0.0000 0.0000  12 Zn 2.90, 4 Ta 3.03
Ta 0.2500 0.2500 0.2500  12 Zn 2.90, 4 Ta 3.03

6.
This record from Alexandria via LeMat-Bulk describes a PBEsol-optimized structure of V3CoO8. The functional is SCAN.

Properties
For the total energy, the calculation gives -12.31 eV per atom. As for the density of states at the Fermi level: 0.2 states/eV/f.u. As for the space group: Iba2 (45).

Unit cell a=8.2347 b=9.5651 c=9.5651 alpha=60.50 beta=64.50 gamma=64.50
Closest atoms and distances in Å follow each position.
Atoms (fractional coordinates):
V 0.1990 0.2463 0.3507  4 O 1.69-1.79
V 0.6990 0.3507 0.2463  4 O 1.69-1.79
V 0.3454 0.0087 0.6883  2 O 1.66-1.83
V 0.8454 0.6883 0.0087  2 O 1.66-1.83
V 0.5216 0.3074 0.6489  3 O 1.65-1.83
V 0.0216 0.6489 0.3074  3 O 1.65-1.83
V 0.9779 0.3511 0.6926  3 O 1.65-1.83
V 0.4779 0.6926 0.3511  3 O 1.65-1.83
V 0.5424 0.3117 0.9913  2 O 1.66-1.83
V 0.0424 0.9913 0.3117  2 O 1.66-1.83
V 0.2961 0.6493 0.7537  4 O 1.69-1.79
V 0.7961 0.7537 0.6493  4 O 1.69-1.79
Co 0.9642 0.0165 0.6656  5 O 1.87-2.06
Co 0.4642 0.6656 0.0165  5 O 1.87-2.06
Co 0.1463 0.3344 0.9835  5 O 1.87-2.06
Co 0.6463 0.9835 0.3344  5 O 1.87-2.06
O 0.6271 0.1197 0.1163  1 V 1.66
O 0.1271 0.1163 0.1197  1 V 1.66
O 0.7727 0.1381 0.3255  1 V 1.70
O 0.2727 0.3255 0.1381  1 V 1.70
O 0.0664 0.1162 0.4104  1 V 1.73
O 0.8902 0.4211 0.1199  1 V 1.69
O 0.3902 0.1199 0.4211  1 V 1.69
O 0.5664 0.4104 0.1162  1 V 1.73
O 0.0904 0.1366 0.7011  2 V 1.83-1.91
O 0.5904 0.7011 0.1366  2 V 1.83-1.91
O 0.0716 0.4042 0.4376  2 V 1.79-1.98
O 0.5716 0.4376 0.4042  2 V 1.79-1.98
O 0.4219 0.1784 0.6560  2 V 1.72-1.83
O 0.7401 0.1951 0.6441  1 V 1.65
O 0.9219 0.6560 0.1784  2 V 1.72-1.83
O 0.2401 0.6441 0.1951  1 V 1.65
O 0.7563 0.3440 0.8216  2 V 1.72-1.83
O 0.2563 0.8216 0.3440  2 V 1.72-1.83
O 0.5793 0.8049 0.3559  1 V 1.65
O 0.0793 0.3559 0.8049  1 V 1.65
O 0.4134 0.5624 0.5958  2 V 1.79-1.98
O 0.9134 0.5958 0.5624  2 V 1.79-1.98
O 0.4281 0.2989 0.8634  2 V 1.83-1.91
O 0.9281 0.8634 0.2989  2 V 1.83-1.91
O 0.4313 0.5789 0.8801  1 V 1.69
O 0.9313 0.8801 0.5789  1 V 1.69
O 0.5930 0.8838 0.5896  1 V 1.73
O 0.0930 0.5896 0.8838  1 V 1.73
O 0.2363 0.8619 0.6745  1 V 1.70
O 0.7363 0.6745 0.8619  1 V 1.70
O 0.8632 0.8803 0.8837  1 V 1.66
O 0.3632 0.8837 0.8803  1 V 1.66

7.
This record from Alexandria via LeMat-Bulk describes a PBEsol-optimized structure of SrFe2Br. The functional is SCAN.

Properties
For the total energy, the calculation gives -19.45 eV per atom. Its offset from the most stable computed form is 0 meV/atom. As for the density of states at the Fermi level: 2.3 states/eV/f.u. As for the space group: Cm (8).

Unit cell a=3.9125 b=3.9711 c=6.7875 alpha=80.97 beta=90.00 gamma=119.51
Closest atoms and distances in Å follow each position.
Atoms (fractional coordinates):
Br 0.0530 0.1061 0.7827  2 Fe 2.55-2.60
Fe 0.1683 0.3365 0.1267  3 Fe 2.28-2.29
Fe 0.8360 0.6720 0.1291  3 Fe 2.28-2.29
Sr 0.4427 0.8854 0.4615  3 Br 3.12-3.14, 6 Fe 3.17-3.21

8.
This record from Alexandria via LeMat-Bulk describes a PBEsol-optimized structure of SrZn2Fe. The functional is SCAN.

Properties
For the total energy, the calculation gives -16.42 eV per atom. As for the density of states at the Fermi level: 3.1 states/eV/f.u. As for the space group: P4/mmm (123).

Unit cell a=4.2665 b=4.2984 c=4.2984 alpha=90.00 beta=90.00 gamma=90.00
Closest atoms and distances in Å follow each position.
Atoms (fractional coordinates):
Fe 0.5000 0.5000 0.5000  8 Zn 3.03, 4 Sr 3.04
Sr 0.5000 0.0000 0.0000  8 Zn 3.03, 4 Fe 3.04
Zn 0.0000 0.0000 0.5000  4 Sr 3.03, 4 Fe 3.03, 4 Zn 3.04
Zn 0.0000 0.5000 0.0000  4 Fe 3.03, 4 Sr 3.03, 4 Zn 3.04

Ordered total magnetization results: 0.000 0.001 0.000 0.001 0.000 1.999 5.020 2.492; unit μB/f.u..